{"formula": "IrSe2S", "functional": "PBE", "state": "relaxed", "lattice_angstrom": [[5.371, 0.001, -0.003], [0.226, 5.584, 0.004], [0.298, -0.002, 6.446]], "species": ["Se", "Ir", "Ir", "S", "Se", "Se", "Se", "S"], "fractional_positions": [[0.187, 0.998, 0.869], [0.508, 0.730, 0.002], [0.492, 0.270, 0.998], [0.678, 0.293, 0.665], [0.721, 0.677, 0.657], [0.279, 0.323, 0.343], [0.813, 0.002, 0.131], [0.322, 0.707, 0.335]], "magmom_total_mub_per_fu": 0.0, "energy_ry_per_atom": -0.3681, "dos_at_fermi_per_ev_cell": 2.12, "space_group": "No. 2", "e_form_raw_ev_per_atom": -0.019}

=====

{"formula": "AlTcMo2", "functional": "PBE", "state": "relaxed", "lattice_angstrom": [[3.184, 0.000, 0.000], [0.000, 4.274, 0.021], [0.000, 4.272, 4.458]], "species": ["Al", "Mo", "Mo", "Tc"], "fractional_positions": [[0.000, 0.000, 0.500], [0.000, 0.000, 0.000], [0.500, 0.500, 0.000], [0.500, 0.500, 0.500]], "magmom_total_mub_per_fu": 0.0, "formation_energy_ev_per_atom": -0.10, "energy_ry_per_atom": -0.6647, "dos_at_fermi_per_ev_cell": 3.10, "space_group": "No. 10"}